Record 1
First-principles (PBE-GGA) data for crystalline PuAgPbSe3 at its relaxed geometry, as listed in the Alexandria database.

a = 4.2159 Å, b = 8.5176 Å, c = 9.2241 Å
α = 103.56°, β = 90.00°, γ = 90.00°
With the nearest neighbours (Å) after each atom.
Atoms (fractional coordinates):
Ag1 0.2500 0.0913 0.5809  4 Se 2.67-2.89, 2 Ag 2.83
Pu1 0.7500 0.3264 0.8346  6 Se 2.90-2.92
Se1 0.2500 0.1027 0.8732  1 Ag 2.67, 2 Pu 2.92
Se2 0.7500 0.8973 0.1268  1 Ag 2.67, 2 Pu 2.92
Pu2 0.2500 0.6736 0.1654  6 Se 2.90-2.92
Se3 0.2500 0.5626 0.8423  3 Pu 2.90-2.91, 2 Pb 3.16
Pb1 0.2500 0.1927 0.2360  7 Se 3.16-3.26, 1 Ag 3.49
Se4 0.7500 0.4374 0.1577  3 Pu 2.90-2.91, 2 Pb 3.16
Se5 0.2500 0.7430 0.4911  3 Ag 2.70-2.89, 1 Pu 2.92
Se6 0.7500 0.2570 0.5089  3 Ag 2.70-2.89, 1 Pu 2.92
Ag2 0.7500 0.9087 0.4191  4 Se 2.67-2.89, 2 Ag 2.83
Pb2 0.7500 0.8073 0.7640  7 Se 3.16-3.26, 1 Ag 3.49

Computed properties:
- formation energy from raw total energies (eV per atom) = -0.79
- total magnetization (μB/cell) = 10.00
- calculated density (g/cm3) = 8.2



Record 2
First-principles (PBE-GGA) data for crystalline Rb2CePuS4 at its relaxed geometry, as listed in the Alexandria database.

a = 4.1912 Å, b = 7.2584 Å, c = 8.0340 Å
α = 107.53°, β = 90.00°, γ = 90.00°
With the nearest neighbours (Å) after each atom.
Atoms (fractional coordinates):
S1 0.0000 0.7321 0.1942  1 Pu 2.84, 2 Ce 2.84
Rb1 0.5000 0.0000 0.5000  6 S 3.37-3.38
Rb2 0.0000 0.5000 0.5000  6 S 3.37-3.39
Ce1 0.5000 0.5000 0.0000  6 S 2.84
S2 0.5000 0.2287 0.1909  2 Pu 2.82, 1 Ce 2.84
S3 0.5000 0.7713 0.8091  2 Pu 2.82, 1 Ce 2.84
Pu1 0.0000 0.0000 0.0000  6 S 2.82-2.84
S4 0.0000 0.2679 0.8058  1 Pu 2.84, 2 Ce 2.84

Computed properties:
- formation energy from raw total energies (eV per atom) = -1.67
- total magnetization (μB/cell) = 6.00
- calculated density (g/cm3) = 4.9



Record 3
First-principles (PBE-GGA) data for crystalline CdMoW2 at its relaxed geometry, as listed in the Alexandria database.

a = 10.1236 Å, b = 10.1236 Å, c = 10.1236 Å
α = 15.99°, β = 15.99°, γ = 15.99°
With the nearest neighbours (Å) after each atom.
Atoms (fractional coordinates):
Cd1 0.4998 0.4998 0.4998  6 Cd 2.82, 3 Mo 3.04, 3 W 3.06
W1 0.2528 0.2528 0.2528  9 W 2.82-2.92, 3 Cd 3.06
Mo1 0.7472 0.7472 0.7472  6 Mo 2.82, 3 W 2.91, 3 Cd 3.04
W2 0.0002 0.0002 0.0002  9 W 2.82-2.92, 3 Mo 2.91

Computed properties:
- total magnetization (μB/cell) = 0.00
- E_form (eV per formula unit) = 2.0
- calculated density (g/cm3) = 13.9



Record 4
First-principles (PBE-GGA) data for crystalline LiZn3Tc at its relaxed geometry, as listed in the Alexandria database.

a = 4.8493 Å, b = 4.8493 Å, c = 4.8493 Å
α = 90.00°, β = 90.00°, γ = 90.00°
With the nearest neighbours (Å) after each atom.
Atoms (fractional coordinates):
Zn1 0.0000 0.5000 0.0000  2 Tc 2.42
Zn2 0.5000 0.0000 0.0000  2 Tc 2.42
Tc1 0.0000 0.0000 0.0000  6 Zn 2.42
Li1 0.5000 0.5000 0.5000  12 Zn 3.43
Zn3 0.0000 0.0000 0.5000  2 Tc 2.42

Computed properties:
- total magnetization (μB/cell) = 0.00
- E_form (eV per formula unit) = 2.6
- calculated density (g/cm3) = 4.4



Record 5
First-principles (PBE-GGA) data for crystalline AlFe3Cl at its relaxed geometry, as listed in the Alexandria database.

a = 4.1093 Å, b = 4.1093 Å, c = 4.1093 Å
α = 90.00°, β = 90.00°, γ = 90.00°
With the nearest neighbours (Å) after each atom.
Atoms (fractional coordinates):
Al1 0.5000 0.5000 0.5000  12 Fe 2.91
Fe1 0.0000 0.5000 0.0000  2 Cl 2.05
Fe2 0.0000 0.0000 0.5000  2 Cl 2.05
Fe3 0.5000 0.0000 0.0000  2 Cl 2.05
Cl1 0.0000 0.0000 0.0000  6 Fe 2.05

Computed properties:
- formation energy from raw total energies (eV per atom) = 0.68
- total magnetization (μB/cell) = 4.82
- calculated density (g/cm3) = 5.5



Record 6
First-principles (PBE-GGA) data for crystalline Ca3AlCu8 at its relaxed geometry, as listed in the Alexandria database.

a = 5.1546 Å, b = 5.1546 Å, c = 9.0556 Å
α = 73.46°, β = 73.46°, γ = 60.00°
With the nearest neighbours (Å) after each atom.
Atoms (fractional coordinates):
Cu1 0.9387 0.4443 0.6782  6 Cu 2.55-2.66
Ca1 0.9928 0.9928 0.0215  12 Cu 2.97-3.30, 1 Al 3.11, 3 Ca 3.25
Cu2 0.9387 0.9387 0.6782  6 Cu 2.55-2.66
Al1 0.8717 0.8717 0.3848  12 Cu 2.91-3.05, 4 Ca 3.10-3.11
Cu3 0.1883 0.1883 0.4352  6 Cu 2.54-2.57
Ca2 0.5050 0.5050 0.4849  12 Cu 2.91-3.06, 3 Al 3.10
Cu4 0.4341 0.9380 0.1939  6 Cu 2.54-2.66
Cu5 0.4341 0.4341 0.1939  6 Cu 2.54-2.66
Cu6 0.9380 0.4341 0.1939  6 Cu 2.54-2.66
Ca3 0.3768 0.3768 0.8696  12 Cu 3.03-3.14, 4 Ca 3.25-3.29
Cu7 0.6875 0.6875 0.9376  6 Cu 2.66
Cu8 0.4443 0.9387 0.6782  6 Cu 2.55-2.66

Computed properties:
- total magnetization (μB/cell) = 0.00
- E_form (eV per formula unit) = -1.4
- calculated density (g/cm3) = 5.5



Record 7
First-principles (PBE-GGA) data for crystalline HfAgBr2 at its relaxed geometry, as listed in the Alexandria database.

a = 9.3481 Å, b = 9.3481 Å, c = 9.3481 Å
α = 22.28°, β = 22.28°, γ = 22.28°
With the nearest neighbours (Å) after each atom.
Atoms (fractional coordinates):
Ag1 0.5000 0.5000 0.5000  6 Br 2.85
Hf1 0.0000 0.0000 0.0000  2 Br 2.61
Br1 0.0955 0.0955 0.0955  1 Hf 2.61, 3 Ag 2.85
Br2 0.9045 0.9045 0.9045  1 Hf 2.61, 3 Ag 2.85

Computed properties:
- formation energy from raw total energies (eV per atom) = -0.08
- total magnetization (μB/cell) = 0.73
- calculated density (g/cm3) = 7.2



Record 8
First-principles (PBE-GGA) data for crystalline KLaAgCl5 at its relaxed geometry, as listed in the Alexandria database.

a = 7.7556 Å, b = 7.7556 Å, c = 10.3840 Å
α = 102.54°, β = 102.54°, γ = 109.27°
With the nearest neighbours (Å) after each atom.
Atoms (fractional coordinates):
Cl1 0.2636 0.3740 0.5596  1 Ag 2.61, 1 La 2.78
Ag1 0.6847 0.3153 0.2500  4 Cl 2.59-2.61
K1 0.3528 0.6472 0.2500  5 Cl 3.18-3.31
Cl2 0.6808 0.0700 0.3843  1 Ag 2.59, 1 La 2.78
Ag2 0.3153 0.6847 0.7500  4 Cl 2.59-2.61
Cl3 0.9300 0.3192 0.1157  1 Ag 2.59, 1 La 2.78
Cl4 0.9089 0.0911 0.7500  2 La 2.84
La1 0.0000 0.0000 0.5000  6 Cl 2.78-2.84
Cl5 0.3740 0.2636 0.0596  1 Ag 2.61, 1 La 2.78
Cl6 0.0911 0.9089 0.2500  2 La 2.84
K2 0.6472 0.3528 0.7500  5 Cl 3.18-3.31
La2 0.0000 0.0000 0.0000  6 Cl 2.78-2.84
Cl7 0.3192 0.9300 0.6157  1 Ag 2.59, 1 La 2.78
Cl8 0.0700 0.6808 0.8843  1 Ag 2.59, 1 La 2.78
Cl9 0.7364 0.6260 0.4404  1 Ag 2.61, 1 La 2.78
Cl10 0.6260 0.7364 0.9404  1 Ag 2.61, 1 La 2.78

Computed properties:
- formation energy from raw total energies (eV per atom) = -1.79
- total magnetization (μB/cell) = 0.00
- calculated density (g/cm3) = 2.8